# Nd3HgPd5 | Alexandria via LeMat-Bulk | PBE-GGA | optimized geometry
# Size of the total moment, μB per cell: 0.000
# Crystal system: tetragonal
# Formation enthalpy at 0 K, meV/atom: -445.9
# Calculated volume, Å³/f.u.: 208.0
data_Nd3HgPd5
_symmetry_space_group_name_H-M 'I 4/m c m'
_symmetry_Int_Tables_number 140
_symmetry_space_group_name_Hall '-I 4 2c'
_cell_length_a 8.525
_cell_length_b 8.525
_cell_length_c 11.448
_cell_angle_alpha 90.00
_cell_angle_beta 90.00
_cell_angle_gamma 90.00
loop_
_atom_site_label
_atom_site_type_symbol
_atom_site_fract_x
_atom_site_fract_y
_atom_site_fract_z
Nd1 Nd 0.000 0.000 0.250
Nd2 Nd 0.128 0.372 0.000
Hg1 Hg 0.000 0.500 0.250
Pd1 Pd 0.000 0.000 0.000
Pd2 Pd 0.196 0.304 0.363

---

# Nd2Hg3Pd2 | Alexandria via LeMat-Bulk | PBE-GGA | optimized geometry
# Size of the total moment, μB per cell: 0.000
# Crystal system: monoclinic
# Formation enthalpy at 0 K, meV/atom: -578.9
# Calculated volume, Å³/f.u.: 162.7
data_Nd2Hg3Pd2
_symmetry_space_group_name_H-M 'C 1 2/m 1'
_symmetry_Int_Tables_number 12
_cell_length_a 10.080
_cell_length_b 4.522
_cell_length_c 7.557
_cell_angle_alpha 90.00
_cell_angle_beta 109.18
_cell_angle_gamma 90.00
loop_
_symmetry_equiv_pos_as_xyz
'x,y,z'
'-x,-y,-z'
'-x,y,-z'
'x,-y,z'
'x+1/2,y+1/2,z'
'-x+1/2,-y+1/2,-z'
'-x+1/2,y+1/2,-z'
'x+1/2,-y+1/2,z'
loop_
_atom_site_label
_atom_site_type_symbol
_atom_site_fract_x
_atom_site_fract_y
_atom_site_fract_z
Nd1 Nd 0.139 0.000 0.276
Hg1 Hg 0.000 0.500 0.500
Hg2 Hg 0.128 0.500 0.941
Pd1 Pd 0.155 0.000 0.693

---

# Nd2Hg3Pd2 | Alexandria via LeMat-Bulk | PBE-GGA | optimized geometry
# Size of the total moment, μB per cell: 0.000
# Crystal system: monoclinic
# Formation enthalpy at 0 K, meV/atom: -540.4
# Calculated volume, Å³/f.u.: 166.8
data_Nd2Hg3Pd2
_symmetry_space_group_name_H-M 'C 1 2/m 1'
_symmetry_Int_Tables_number 12
_cell_length_a 10.655
_cell_length_b 4.146
_cell_length_c 7.573
_cell_angle_alpha 90.00
_cell_angle_beta 94.37
_cell_angle_gamma 90.00
loop_
_symmetry_equiv_pos_as_xyz
'x,y,z'
'-x,-y,-z'
'-x,y,-z'
'x,-y,z'
'x+1/2,y+1/2,z'
'-x+1/2,-y+1/2,-z'
'-x+1/2,y+1/2,-z'
'x+1/2,-y+1/2,z'
loop_
_atom_site_label
_atom_site_type_symbol
_atom_site_fract_x
_atom_site_fract_y
_atom_site_fract_z
Nd1 Nd 0.121 0.000 0.336
Hg1 Hg 0.000 0.500 0.000
Hg2 Hg 0.191 0.000 0.860
Pd1 Pd 0.094 0.500 0.632

---

# Nd3Hg2Pd | Alexandria via LeMat-Bulk | PBE-GGA | optimized geometry
# Size of the total moment, μB per cell: 0.001
# Crystal system: monoclinic
# Formation enthalpy at 0 K, meV/atom: -423.2
# Calculated volume, Å³/f.u.: 179.8
data_Nd3Hg2Pd
_symmetry_space_group_name_H-M 'C 1 2/c 1'
_symmetry_Int_Tables_number 15
_cell_length_a 15.191
_cell_length_b 6.155
_cell_length_c 7.972
_cell_angle_alpha 90.00
_cell_angle_beta 105.20
_cell_angle_gamma 90.00
loop_
_symmetry_equiv_pos_as_xyz
'x,y,z'
'-x,-y,-z'
'-x,y,-z+1/2'
'x,-y,z+1/2'
'x+1/2,y+1/2,z'
'-x+1/2,-y+1/2,-z'
'-x+1/2,y+1/2,-z+1/2'
'x+1/2,-y+1/2,z+1/2'
loop_
_atom_site_label
_atom_site_type_symbol
_atom_site_fract_x
_atom_site_fract_y
_atom_site_fract_z
Nd1 Nd 0.000 0.002 0.250
Nd2 Nd 0.142 0.499 0.070
Hg1 Hg 0.183 0.001 0.592
Pd1 Pd 0.000 0.498 0.750

---

# NdHgPd6 | Alexandria via LeMat-Bulk | PBE-GGA | optimized geometry
# Size of the total moment, μB per cell: 0.000
# Crystal system: cubic
# Formation enthalpy at 0 K, meV/atom: -263.8
# Calculated volume, Å³/f.u.: 145.3
data_NdHgPd6
_symmetry_space_group_name_H-M 'P m -3'
_symmetry_Int_Tables_number 200
_symmetry_space_group_name_Hall '-P 2 2 3'
_cell_length_a 5.258
_cell_length_b 5.258
_cell_length_c 5.258
_cell_angle_alpha 90.00
_cell_angle_beta 90.00
_cell_angle_gamma 90.00
loop_
_atom_site_label
_atom_site_type_symbol
_atom_site_fract_x
_atom_site_fract_y
_atom_site_fract_z
Nd1 Nd 0.000 0.000 0.000
Hg1 Hg 0.500 0.500 0.500
Pd1 Pd 0.000 0.254 0.500

---

# Nd4HgPd12 | Alexandria via LeMat-Bulk | PBE-GGA | optimized geometry
# Size of the total moment, μB per cell: 0.000
# Crystal system: cubic
# Formation enthalpy at 0 K, meV/atom: -719.6
# Calculated volume, Å³/f.u.: 329.2
data_Nd4HgPd12
_symmetry_space_group_name_H-M 'I m -3 m'
_symmetry_Int_Tables_number 229
_symmetry_space_group_name_Hall '-I 4 2 3'
_cell_length_a 8.700
_cell_length_b 8.700
_cell_length_c 8.700
_cell_angle_alpha 90.00
_cell_angle_beta 90.00
_cell_angle_gamma 90.00
loop_
_atom_site_label
_atom_site_type_symbol
_atom_site_fract_x
_atom_site_fract_y
_atom_site_fract_z
Nd1 Nd 0.250 0.250 0.250
Hg1 Hg 0.000 0.000 0.000
Pd1 Pd 0.000 0.000 0.306
Pd2 Pd 0.000 0.250 0.500

---

# Nd2HgPd6 | Alexandria via LeMat-Bulk | PBE-GGA | optimized geometry
# Size of the total moment, μB per cell: 0.000
# Crystal system: trigonal
# Formation enthalpy at 0 K, meV/atom: -612.8
# Calculated volume, Å³/f.u.: 180.6
data_Nd2HgPd6
_symmetry_space_group_name_H-M 'P -3 m 1'
_symmetry_Int_Tables_number 164
_symmetry_space_group_name_Hall '-P 3 2"'
_cell_length_a 5.8216
_cell_length_b 5.8216
_cell_length_c 6.1534
_cell_angle_alpha 90.00
_cell_angle_beta 90.00
_cell_angle_gamma 120.00
loop_
_atom_site_label
_atom_site_type_symbol
_atom_site_fract_x
_atom_site_fract_y
_atom_site_fract_z
Nd1 Nd 0.3333 0.6667 0.3129
Hg1 Hg 0.0000 0.0000 0.5000
Pd1 Pd 0.1769 0.3538 0.8272

---

# Nd3HgPd4 | Alexandria via LeMat-Bulk | PBE-GGA | optimized geometry
# Size of the total moment, μB per cell: 0.000
# Crystal system: orthorhombic
# Formation enthalpy at 0 K, meV/atom: -617.4
# Calculated volume, Å³/f.u.: 197.3
data_Nd3HgPd4
_symmetry_space_group_name_H-M 'I m m m'
_symmetry_Int_Tables_number 71
_symmetry_space_group_name_Hall '-I 2 2'
_cell_length_a 3.912
_cell_length_b 6.759
_cell_length_c 14.928
_cell_angle_alpha 90.00
_cell_angle_beta 90.00
_cell_angle_gamma 90.00
loop_
_atom_site_label
_atom_site_type_symbol
_atom_site_fract_x
_atom_site_fract_y
_atom_site_fract_z
Nd1 Nd 0.000 0.000 0.000
Nd2 Nd 0.000 0.500 0.189
Hg1 Hg 0.000 0.000 0.500
Pd1 Pd 0.000 0.301 0.371